# CeCoH5 | the Alexandria database | PBE | relaxed
data_CeCoH5
_space_group_name_H-M_alt 'C 1 2/c 1'
_space_group_IT_number 15
_cell_length_a 4.540
_cell_length_b 7.783
_cell_length_c 6.751
_cell_angle_alpha 90.00
_cell_angle_beta 91.94
_cell_angle_gamma 90.00
loop_
_space_group_symop_operation_xyz
'x,y,z'
'-x,-y,-z'
'-x,y,-z+1/2'
'x,-y,z+1/2'
'x+1/2,y+1/2,z'
'-x+1/2,-y+1/2,-z'
'-x+1/2,y+1/2,-z+1/2'
'x+1/2,-y+1/2,z+1/2'
loop_
_atom_site_label
_atom_site_type_symbol
_atom_site_fract_x
_atom_site_fract_y
_atom_site_fract_z
Ce1 Ce 0.000 0.167 0.250
Co1 Co 0.000 0.500 0.000
H1 H 0.000 0.481 0.250
H2 H 0.052 0.308 0.557
H3 H 0.178 0.059 0.955
# Calculated density: 5.7 g/cm3
# Density of states at the Fermi level: 5.47 states/eV/f.u.
# E: -129.55 eV/cell


# Ce2CoH4 | the Alexandria database | PBE | relaxed
data_Ce2CoH4
_space_group_name_H-M_alt 'I 4/m m m'
_space_group_IT_number 139
_space_group_name_Hall '-I 4 2'
_cell_length_a 3.296
_cell_length_b 3.296
_cell_length_c 14.243
_cell_angle_alpha 90.00
_cell_angle_beta 90.00
_cell_angle_gamma 90.00
loop_
_atom_site_label
_atom_site_type_symbol
_atom_site_fract_x
_atom_site_fract_y
_atom_site_fract_z
Ce1 Ce 0.000 0.000 0.138
Co1 Co 0.000 0.000 0.500
H1 H 0.000 0.000 0.304
H2 H 0.000 0.500 0.000
# Distance to the lowest polymorph of the same formula: 0.15 eV per formula unit
# Calculated density: 7.4 g/cm3
# Density of states at the Fermi level: 8.56 states/eV/f.u.
# E: -69.71 eV/cell


# CeCoH6 | the Alexandria database | PBE | relaxed
data_CeCoH6
_space_group_name_H-M_alt 'C 1 2/m 1'
_space_group_IT_number 12
_cell_length_a 5.361
_cell_length_b 6.144
_cell_length_c 4.059
_cell_angle_alpha 90.00
_cell_angle_beta 102.95
_cell_angle_gamma 90.00
loop_
_space_group_symop_operation_xyz
'x,y,z'
'-x,-y,-z'
'-x,y,-z'
'x,-y,z'
'x+1/2,y+1/2,z'
'-x+1/2,-y+1/2,-z'
'-x+1/2,y+1/2,-z'
'x+1/2,-y+1/2,z'
loop_
_atom_site_label
_atom_site_type_symbol
_atom_site_fract_x
_atom_site_fract_y
_atom_site_fract_z
Ce1 Ce 0.000 0.000 0.000
Co1 Co 0.000 0.500 0.500
H1 H 0.107 0.328 0.777
H2 H 0.226 0.000 0.569
# Distance to the lowest polymorph of the same formula: 0.79 eV per formula unit
# Calculated density: 5.2 g/cm3
# Density of states at the Fermi level: 6.76 states/eV/f.u.
# E: -70.28 eV/cell


# Ce2CoH | the Alexandria database | PBE | relaxed
data_Ce2CoH
_space_group_name_H-M_alt 'R -3 m'
_space_group_IT_number 166
_space_group_name_Hall '-R 3 2"'
_cell_length_a 3.8684
_cell_length_b 3.8684
_cell_length_c 17.4451
_cell_angle_alpha 90.00
_cell_angle_beta 90.00
_cell_angle_gamma 120.00
loop_
_atom_site_label
_atom_site_type_symbol
_atom_site_fract_x
_atom_site_fract_y
_atom_site_fract_z
Ce1 Ce 0.0000 0.0000 0.2474
Co1 Co 0.0000 0.0000 0.0000
H1 H 0.0000 0.0000 0.5000
# Distance to the lowest polymorph of the same formula: 0.27 eV per formula unit
# Calculated density: 7.5 g/cm3
# Density of states at the Fermi level: 8.07 states/eV/f.u.
# E: -69.46 eV/cell


# Ce3CoH6 | the Alexandria database | PBE | relaxed
data_Ce3CoH6
_space_group_name_H-M_alt 'C m c 21'
_space_group_IT_number 36
_cell_length_a 9.694
_cell_length_b 11.566
_cell_length_c 4.526
_cell_angle_alpha 90.00
_cell_angle_beta 90.00
_cell_angle_gamma 90.00
loop_
_space_group_symop_operation_xyz
'x,y,z'
'-x,-y,z+1/2'
'-x,y,z'
'x,-y,z+1/2'
'x+1/2,y+1/2,z'
'-x+1/2,-y+1/2,z+1/2'
'-x+1/2,y+1/2,z'
'x+1/2,-y+1/2,z+1/2'
loop_
_atom_site_label
_atom_site_type_symbol
_atom_site_fract_x
_atom_site_fract_y
_atom_site_fract_z
Ce1 Ce 0.000 0.118 0.000
Ce2 Ce 0.192 0.386 0.986
Co1 Co 0.000 0.318 0.447
H1 H 0.000 0.299 0.798
H2 H 0.000 0.449 0.329
H3 H 0.129 0.240 0.323
H4 H 0.150 0.002 0.739
# Calculated density: 6.4 g/cm3
# Density of states at the Fermi level: 16.10 states/eV/f.u.
# E: -193.42 eV/cell


# CeCo2H7 | the Alexandria database | PBE | relaxed
data_CeCo2H7
_space_group_name_H-M_alt 'C m m m'
_space_group_IT_number 65
_space_group_name_Hall '-C 2 2'
_cell_length_a 4.830
_cell_length_b 8.622
_cell_length_c 3.477
_cell_angle_alpha 90.00
_cell_angle_beta 90.00
_cell_angle_gamma 90.00
loop_
_atom_site_label
_atom_site_type_symbol
_atom_site_fract_x
_atom_site_fract_y
_atom_site_fract_z
Ce1 Ce 0.000 0.000 0.000
Co1 Co 0.000 0.314 0.500
H1 H 0.000 0.320 0.000
H2 H 0.000 0.500 0.500
H3 H 0.178 0.150 0.500
# Calculated density: 6.1 g/cm3
# Density of states at the Fermi level: 5.66 states/eV/f.u.
# E: -91.73 eV/cell


# Ce4Co2H | the Alexandria database | PBE | relaxed
data_Ce4Co2H
_space_group_name_H-M_alt 'I 4/m m m'
_space_group_IT_number 139
_space_group_name_Hall '-I 4 2'
_cell_length_a 4.517
_cell_length_b 4.517
_cell_length_c 14.043
_cell_angle_alpha 90.00
_cell_angle_beta 90.00
_cell_angle_gamma 90.00
loop_
_atom_site_label
_atom_site_type_symbol
_atom_site_fract_x
_atom_site_fract_y
_atom_site_fract_z
Ce1 Ce 0.000 0.000 0.197
Ce2 Ce 0.000 0.500 0.000
Co1 Co 0.000 0.000 0.351
H1 H 0.000 0.000 0.000
# Distance to the lowest polymorph of the same formula: 0.11 eV per formula unit
# Calculated density: 7.9 g/cm3
# Density of states at the Fermi level: 13.85 states/eV/f.u.
# E: -84.42 eV/cell


# Ce3Co2H8 | the Alexandria database | PBE | relaxed
data_Ce3Co2H8
_space_group_name_H-M_alt 'R -3 m'
_space_group_IT_number 166
_space_group_name_Hall '-R 3 2"'
_cell_length_a 4.8218
_cell_length_b 4.8218
_cell_length_c 19.9573
_cell_angle_alpha 90.00
_cell_angle_beta 90.00
_cell_angle_gamma 120.00
loop_
_atom_site_label
_atom_site_type_symbol
_atom_site_fract_x
_atom_site_fract_y
_atom_site_fract_z
Ce1 Ce 0.0000 0.0000 0.0000
Ce2 Ce 0.0000 0.0000 0.2102
Co1 Co 0.0000 0.0000 0.4188
H1 H 0.0000 0.0000 0.3394
H2 H 0.0435 0.5217 0.7709
# Calculated density: 6.8 g/cm3
# Density of states at the Fermi level: 16.06 states/eV/f.u.
# E: -190.36 eV/cell


# Ce2CoH | the Alexandria database | PBE | relaxed
data_Ce2CoH
_space_group_name_H-M_alt 'R 3 m'
_space_group_IT_number 160
_space_group_name_Hall 'R 3 -2"'
_cell_length_a 3.6496
_cell_length_b 3.6496
_cell_length_c 19.1768
_cell_angle_alpha 90.00
_cell_angle_beta 90.00
_cell_angle_gamma 120.00
loop_
_atom_site_label
_atom_site_type_symbol
_atom_site_fract_x
_atom_site_fract_y
_atom_site_fract_z
Ce1 Ce 0.0000 0.0000 0.0000
Ce2 Ce 0.0000 0.0000 0.1628
Co1 Co 0.0000 0.0000 0.5795
H1 H 0.0000 0.0000 0.4125
# Distance to the lowest polymorph of the same formula: 0.46 eV per formula unit
# Calculated density: 7.7 g/cm3
# Density of states at the Fermi level: 5.94 states/eV/f.u.
# E: -68.89 eV/cell


# CeHfCo2H8 | the Alexandria database | PBE | relaxed
data_CeHfCo2H8
_space_group_name_H-M_alt 'R -3'
_space_group_IT_number 148
_space_group_name_Hall '-R 3'
_cell_length_a 4.2968
_cell_length_b 4.2968
_cell_length_c 19.3486
_cell_angle_alpha 90.00
_cell_angle_beta 90.00
_cell_angle_gamma 120.00
loop_
_atom_site_label
_atom_site_type_symbol
_atom_site_fract_x
_atom_site_fract_y
_atom_site_fract_z
Ce1 Ce 0.0000 0.0000 0.0000
Hf1 Hf 0.0000 0.0000 0.5000
Co1 Co 0.0000 0.0000 0.2377
H1 H 0.0000 0.0000 0.3201
H2 H 0.0058 0.2879 0.0998
# Calculated density: 7.2 g/cm3
# Density of states at the Fermi level: 2.70 states/eV/f.u.
# E: -178.11 eV/cell